The following is a DFT calculation (PBE) of a relaxed PuTl3Ga3Br8 crystal.

Unit cell a=9.4006 b=9.4006 c=9.4006 alpha=57.50 beta=57.50 gamma=57.50
Fractional coordinates of all 15 atoms:
Pu 0.0000 0.0000 0.0000
Tl 0.0000 0.0000 0.5000
Tl 0.0000 0.5000 0.0000
Tl 0.5000 0.0000 0.0000
Ga 0.0000 0.5000 0.5000
Ga 0.5000 0.0000 0.5000
Ga 0.5000 0.5000 0.0000
Br 0.2300 0.2300 0.7564
Br 0.2300 0.7564 0.2300
Br 0.2436 0.7700 0.7700
Br 0.2568 0.2568 0.2568
Br 0.7432 0.7432 0.7432
Br 0.7564 0.2300 0.2300
Br 0.7700 0.2436 0.7700
Br 0.7700 0.7700 0.2436

## Properties
Formation energy from raw total energies (eV per formula unit): -12.6
SG: R-3m (166)
Raw total energy (eV/cell): -56.505